1.
InH2Pd3: relaxed, PBE.

a = 3.727 Å, b = 6.886 Å, c = 6.658 Å
α = 110.38°, β = 106.25°, γ = 90.00°
Atoms (fractional coordinates):
In 0.358 0.978 0.716
In 0.642 0.022 0.284
H 0.356 0.372 0.713
H 0.644 0.628 0.287
H 0.949 0.690 0.898
H 0.051 0.310 0.102
Pd 0.212 0.333 0.424
Pd 0.124 0.701 0.249
Pd 0.452 0.669 0.905
Pd 0.788 0.667 0.576
Pd 0.548 0.331 0.095
Pd 0.876 0.299 0.751

- Raw total energy: -52.73 eV per cell

2.
InH2Pd: relaxed, PBE.

a = 4.015 Å, b = 4.015 Å, c = 4.015 Å
α = 60.00°, β = 60.00°, γ = 60.00°
Atoms (fractional coordinates):
H 0.250 0.250 0.250
H 0.750 0.750 0.750
Pd 0.000 0.000 0.000
In 0.500 0.500 0.500

- E above lowest polymorph: 1.941 eV per formula unit
- Raw total energy: -12.30 eV per cell

3.
InHPd: relaxed, PBE.

a = 3.307 Å, b = 3.307 Å, c = 4.349 Å
α = 90.00°, β = 90.00°, γ = 120.00°
Atoms (fractional coordinates):
H 0.333 0.667 0.500
Pd 0.667 0.333 0.500
In 0.000 0.000 0.000

- E above lowest polymorph: 0.158 eV per formula unit
- Raw total energy: -11.65 eV per cell

4.
In2HPd: relaxed, PBE.

a = 5.190 Å, b = 5.190 Å, c = 7.235 Å
α = 68.98°, β = 68.98°, γ = 90.00°
Atoms (fractional coordinates):
H 0.500 0.500 0.000
H 0.250 0.750 0.500
Pd 0.000 0.000 0.000
Pd 0.750 0.250 0.500
In 0.549 0.125 0.250
In 0.201 0.625 0.250
In 0.375 0.451 0.750
In 0.875 0.799 0.750

- E above lowest polymorph: 0.145 eV per formula unit
- Raw total energy: -26.61 eV per cell

5.
InH3Pd: relaxed, PBE.

a = 3.753 Å, b = 3.753 Å, c = 3.753 Å
α = 90.00°, β = 90.00°, γ = 90.00°
Atoms (fractional coordinates):
H 0.000 0.500 0.000
H 0.000 0.000 0.500
H 0.500 0.000 0.000
Pd 0.000 0.000 0.000
In 0.500 0.500 0.500

- Raw total energy: -17.16 eV per cell

6.
InH2Pd4: relaxed, PBE.

a = 4.883 Å, b = 5.199 Å, c = 7.778 Å
α = 113.14°, β = 98.92°, γ = 96.23°
Atoms (fractional coordinates):
In 0.339 0.612 0.552
In 0.888 0.044 0.892
H 0.616 0.531 0.868
H 0.585 0.910 0.212
H 0.756 0.529 0.269
H 0.112 0.513 0.895
Pd 0.869 0.217 0.279
Pd 0.374 0.421 0.177
Pd 0.853 0.448 0.676
Pd 0.864 0.851 0.494
Pd 0.363 0.027 0.375
Pd 0.363 0.202 0.768
Pd 0.382 0.821 0.962
Pd 0.887 0.625 0.082

- Raw total energy: -63.73 eV per cell